{
  "formula": "KBa2Ge2S6",
  "functional": "PBE",
  "state": "optimized geometry",
  "lattice": [[-3.439, -6.357, -0.435], [4.843, 1.166, 4.932], [-6.694, 3.458, 2.376]],
  "species": ["Ba", "S", "Ge", "Ba", "Ge", "S", "K", "S", "S", "S", "S"],
  "frac_coords": [[0.695, 0.391, 0.184], [0.789, 0.577, 0.619], [0.980, 0.959, 0.681], [0.305, 0.609, 0.816], [0.020, 0.041, 0.319], [0.211, 0.423, 0.381], [0.500, 0.000, 0.500], [0.323, 0.153, 0.819], [0.830, 0.153, 0.819], [0.170, 0.847, 0.181], [0.677, 0.847, 0.181]],
  "total_magnetization_mub_per_fu": 0.00,
  "energy_ev_per_atom": -4.551,
  "dos_at_fermi_per_ev_fu": 4.29
}